Record 1
This record from Alexandria describes an optimized crystal structure of NaBeTlSe2. The functional is PBE.

Cell lengths 7.048, 5.789, 7.962 Å; angles 90.00, 103.26, 90.00 degrees
Atoms (fractional coordinates):
Na: 0.000 0.009 0.250
Na: 0.000 0.991 0.750
Be: 0.000 0.500 0.000
Be: 0.000 0.500 0.500
Tl: 0.500 0.342 0.750
Tl: 0.500 0.658 0.250
Se: 0.222 0.272 0.044
Se: 0.222 0.728 0.544
Se: 0.778 0.272 0.456
Se: 0.778 0.728 0.956

Computed properties:
E: -3.48 eV/atom

---

Record 2
This record from Alexandria describes an optimized crystal structure of Na4U3BeSe8. The functional is PBE.

Cell lengths 8.152, 8.152, 8.455 Å; angles 118.95, 118.95, 59.40 degrees
Atoms (fractional coordinates):
Na: 0.000 0.000 0.000
Na: 0.000 0.500 0.000
Na: 0.500 0.000 0.000
Na: 0.500 0.500 0.000
U: 0.000 0.000 0.500
U: 0.000 0.500 0.500
U: 0.500 0.000 0.500
Be: 0.500 0.500 0.500
Se: 0.246 0.246 0.739
Se: 0.255 0.255 0.265
Se: 0.272 0.717 0.709
Se: 0.283 0.728 0.291
Se: 0.717 0.272 0.709
Se: 0.728 0.283 0.291
Se: 0.745 0.745 0.735
Se: 0.754 0.754 0.261

Computed properties:
E: -5.45 eV/atom

---

Record 3
This record from Alexandria describes an optimized crystal structure of Na3Zr3BeSe8. The functional is PBE.

Cell lengths 8.430, 8.430, 8.430 Å; angles 53.90, 53.90, 53.90 degrees
Atoms (fractional coordinates):
Na: 0.000 0.500 0.500
Na: 0.500 0.000 0.500
Na: 0.500 0.500 0.000
Zr: 0.000 0.000 0.500
Zr: 0.000 0.500 0.000
Zr: 0.500 0.000 0.000
Be: 0.500 0.500 0.500
Se: 0.242 0.242 0.242
Se: 0.253 0.727 0.727
Se: 0.273 0.273 0.747
Se: 0.273 0.747 0.273
Se: 0.727 0.253 0.727
Se: 0.727 0.727 0.253
Se: 0.747 0.273 0.273
Se: 0.758 0.758 0.758

Computed properties:
E: -5.23 eV/atom

---

Record 4
This record from Alexandria describes an optimized crystal structure of Na2ZrBeSe. The functional is PBE.

Cell lengths 5.679, 5.679, 4.042 Å; angles 90.00, 90.00, 90.00 degrees
Atoms (fractional coordinates):
Na: 0.000 0.500 0.000
Na: 0.500 0.000 0.000
Zr: 0.000 0.000 0.500
Be: 0.500 0.500 0.000
Se: 0.500 0.500 0.500

Computed properties:
E: -2.99 eV/atom

---

Record 5
This record from Alexandria describes an optimized crystal structure of NaBeSi3. The functional is PBE.

Cell lengths 4.449, 4.449, 4.449 Å; angles 90.00, 90.00, 90.00 degrees
Atoms (fractional coordinates):
Na: 0.000 0.000 0.000
Be: 0.500 0.500 0.500
Si: 0.000 0.500 0.500
Si: 0.500 0.000 0.500
Si: 0.500 0.500 0.000

Computed properties:
energy relative to the lowest polymorph listed for this composition: 0 meV per atom

---

Record 6
This record from Alexandria describes an optimized crystal structure of Na2BeSi. The functional is PBE.

Cell lengths 7.976, 7.976, 7.976 Å; angles 93.76, 93.76, 150.31 degrees
Atoms (fractional coordinates):
Na: 0.375 0.105 0.230
Na: 0.855 0.625 0.730
Na: 0.875 0.145 0.770
Na: 0.895 0.125 0.270
Be: 0.000 0.000 0.000
Be: 0.750 0.250 0.500
Si: 0.250 0.750 0.500
Si: 0.500 0.500 0.000

Computed properties:
energy relative to the lowest polymorph listed for this composition: 0 meV per atom

---

Record 7
This record from Alexandria describes an optimized crystal structure of NaBeSi3. The functional is PBE.

Cell lengths 4.874, 4.874, 4.874 Å; angles 90.00, 90.00, 90.00 degrees
Atoms (fractional coordinates):
Na: 0.000 0.000 0.000
Be: 0.500 0.500 0.500
Si: 0.000 0.000 0.500
Si: 0.000 0.500 0.000
Si: 0.500 0.000 0.000

Computed properties:
energy relative to the lowest polymorph listed for this composition: 1304 meV per atom

---

Record 8
This record from Alexandria describes an optimized crystal structure of Na2BeSi2. The functional is PBE.

Cell lengths 6.077, 6.077, 4.961 Å; angles 90.00, 90.00, 90.00 degrees
Atoms (fractional coordinates):
Na: 0.174 0.326 0.000
Na: 0.326 0.826 0.000
Na: 0.674 0.174 0.000
Na: 0.826 0.674 0.000
Be: 0.000 0.000 0.500
Be: 0.500 0.500 0.500
Si: 0.140 0.640 0.500
Si: 0.360 0.140 0.500
Si: 0.640 0.860 0.500
Si: 0.860 0.360 0.500

Computed properties:
E: -3.24 eV/atom

---

Record 9
This record from Alexandria describes an optimized crystal structure of Na2BeSi. The functional is PBE.

Cell lengths 4.802, 4.802, 4.802 Å; angles 60.00, 60.00, 60.00 degrees
Atoms (fractional coordinates):
Na: 0.250 0.250 0.250
Na: 0.750 0.750 0.750
Be: 0.000 0.000 0.000
Si: 0.500 0.500 0.500

Computed properties:
energy relative to the lowest polymorph listed for this composition: 398 meV per atom

---

Record 10
This record from Alexandria describes an optimized crystal structure of Na3BeSi. The functional is PBE.

Cell lengths 5.589, 5.589, 5.589 Å; angles 90.00, 90.00, 90.00 degrees
Atoms (fractional coordinates):
Na: 0.000 0.000 0.500
Na: 0.000 0.500 0.000
Na: 0.500 0.000 0.000
Be: 0.500 0.500 0.500
Si: 0.000 0.000 0.000

Computed properties:
energy relative to the lowest polymorph listed for this composition: 0 meV per atom

---

What is the formula in the third record? Na3Zr3BeSe8